# 1
This record from the Alexandria database describes RbCa2As2 after structural relaxation. The functional is GGA-PBE.

Results
mass density	3.22	g cm⁻³
Fermi-level density of states	0.66	states/eV per atom
crystal system	tetragonal
formation energy from the elements	-3.595	eV per formula unit
DFT total energy	-17.87	eV/f.u.
energy above the lowest structure with this stoichiometry	85.1	meV/atom

a = 5.1501 Å, b = 5.1501 Å, c = 7.1392 Å
α = 68.86°, β = 68.86°, γ = 90.00°
Each line ends with the local moment (μB).
Fractional positions:
1 As 0.3732 0.3732 0.2537  0.08
2 As 0.6268 0.6268 0.7463  0.08
3 Ca 0.7500 0.2500 0.5000  0.03
4 Ca 0.2500 0.7500 0.5000  0.03
5 Rb 0.0000 0.0000 0.0000  0.01



# 2
This record from the Alexandria database describes TbCd2 after structural relaxation. The functional is GGA-PBE.

Results
mass density	8.63	g cm⁻³
Fermi-level density of states	0.89	states/eV per atom
crystal system	hexagonal
formation energy from the elements	-0.970	eV per formula unit
DFT total energy	-7.43	eV/f.u.

a = 3.4071 Å, b = 5.0037 Å, c = 5.0037 Å
α = 120.00°, β = 90.00°, γ = 90.00°
Fractional positions:
1 Tb 0.5000 0.0000 0.0000
2 Cd 0.0000 0.3333 0.6667
3 Cd 0.0000 0.6667 0.3333



# 3
This record from the Alexandria database describes Hf2AlSb after structural relaxation. The functional is GGA-PBE.

Results
mass density	10.09	g cm⁻³
Fermi-level density of states	0.99	states/eV per atom
raw formation energy	-0.097	eV per atom
crystal system	cubic
DFT total energy	-28.16	eV/f.u.
energy above the lowest structure with this stoichiometry	0.0	meV/atom

a = 4.9011 Å, b = 4.9011 Å, c = 4.9011 Å
α = 60.00°, β = 60.00°, γ = 60.00°
Fractional positions:
1 Sb 0.5000 0.5000 0.5000
2 Hf 0.2500 0.2500 0.2500
3 Hf 0.7500 0.7500 0.7500
4 Al 0.0000 0.0000 0.0000



# 4
This record from the Alexandria database describes Ac2Y4Er after structural relaxation. The functional is GGA-PBE.

Results
mass density	6.45	g cm⁻³
Fermi-level density of states	1.73	states/eV per atom
crystal system	orthorhombic
formation energy from the elements	0.671	eV per formula unit
DFT total energy	-37.96	eV/f.u.

a = 3.6465 Å, b = 3.6565 Å, c = 18.9564 Å
α = 90.00°, β = 95.52°, γ = 90.00°
Fractional positions:
1 Ac 0.7958 0.5000 0.5916
2 Ac 0.2042 0.5000 0.4084
3 Y 0.9356 0.5000 0.8712
4 Y 0.6304 0.0000 0.2608
5 Y 0.0644 0.5000 0.1288
6 Y 0.3696 0.0000 0.7392
7 Er 0.5000 0.0000 0.0000